1.
PmYIrPt after structural relaxation. Source: Alexandria via LeMat-Bulk, functional PBE.

Cell and atoms, written as CIF:
```
data_PmYIrPt
_cell_length_a 7.024
_cell_length_b 7.024
_cell_length_c 7.024
_cell_angle_alpha 90.00
_cell_angle_beta 90.00
_cell_angle_gamma 90.00
_symmetry_space_group_name_H-M 'F -4 3 m'
_symmetry_Int_Tables_number 216
_symmetry_space_group_name_Hall 'F -4 2 3'
loop_
_atom_site_label
_atom_site_type_symbol
_atom_site_fract_x
_atom_site_fract_y
_atom_site_fract_z
Pm1 Pm 0.000 0.000 0.000
Y1 Y 0.000 0.000 0.500
Ir1 Ir 0.250 0.250 0.250
Pt1 Pt 0.250 0.250 0.750
```


2.
PmYIrPt after structural relaxation. Source: Alexandria via LeMat-Bulk, functional PBE.

Cell and atoms, written as CIF:
```
data_PmYIrPt
_cell_length_a 4.321
_cell_length_b 3.907
_cell_length_c 10.807
_cell_angle_alpha 90.00
_cell_angle_beta 90.00
_cell_angle_gamma 90.00
_symmetry_space_group_name_H-M 'A m m 2'
_symmetry_Int_Tables_number 38
_symmetry_space_group_name_Hall 'A 2 -2'
loop_
_atom_site_label
_atom_site_type_symbol
_atom_site_fract_x
_atom_site_fract_y
_atom_site_fract_z
Pm1 Pm 0.000 0.000 0.000
Y1 Y 0.500 0.000 0.715
Ir1 Ir 0.000 0.000 0.268
Pt1 Pt 0.500 0.000 0.438
```


Least stable: 1


1.
PmPuIr after structural relaxation. Source: Alexandria via LeMat-Bulk, functional PBE.

Cell and atoms, written as CIF:
```
data_PmPuIr
_cell_length_a 4.5361
_cell_length_b 4.5361
_cell_length_c 4.2517
_cell_angle_alpha 90.00
_cell_angle_beta 90.00
_cell_angle_gamma 120.00
_symmetry_space_group_name_H-M 'P 3 m 1'
_symmetry_Int_Tables_number 156
_symmetry_space_group_name_Hall 'P 3 -2"'
loop_
_atom_site_label
_atom_site_type_symbol
_atom_site_fract_x
_atom_site_fract_y
_atom_site_fract_z
Pm1 Pm 0.0000 0.0000 0.0000
Pu1 Pu 0.3333 0.6667 0.4552
Ir1 Ir 0.6667 0.3333 0.6798
```


2.
PmPuIr after structural relaxation. Source: Alexandria via LeMat-Bulk, functional PBE.

Cell and atoms, written as CIF:
```
data_PmPuIr
_cell_length_a 9.496
_cell_length_b 12.667
_cell_length_c 7.308
_cell_angle_alpha 90.00
_cell_angle_beta 90.00
_cell_angle_gamma 90.00
_symmetry_space_group_name_H-M 'I m a 2'
_symmetry_Int_Tables_number 46
_symmetry_space_group_name_Hall 'I 2 -2a'
loop_
_atom_site_label
_atom_site_type_symbol
_atom_site_fract_x
_atom_site_fract_y
_atom_site_fract_z
Pm1 Pm 0.250 0.000 0.000
Pm2 Pm 0.250 0.208 0.374
Pm3 Pm 0.250 0.709 0.874
Pu1 Pu 0.000 0.000 0.332
Pu2 Pu 0.000 0.125 0.708
Ir1 Ir 0.000 0.167 0.083
Ir2 Ir 0.250 0.501 0.082
```


Least stable: 1


1.
PmPuIr after structural relaxation. Source: Alexandria via LeMat-Bulk, functional PBE.

Cell and atoms, written as CIF:
```
data_PmPuIr
_cell_length_a 4.826
_cell_length_b 4.843
_cell_length_c 6.904
_cell_angle_alpha 90.00
_cell_angle_beta 90.00
_cell_angle_gamma 90.00
_symmetry_space_group_name_H-M 'P m m n'
_symmetry_Int_Tables_number 59
loop_
_symmetry_equiv_pos_as_xyz
'x,y,z'
'-x,-y,-z'
'-x+1/2,-y+1/2,z'
'x+1/2,y+1/2,-z'
'x+1/2,-y,-z'
'-x+1/2,y,z'
'-x,y+1/2,-z'
'x,-y+1/2,z'
loop_
_atom_site_label
_atom_site_type_symbol
_atom_site_fract_x
_atom_site_fract_y
_atom_site_fract_z
Pm1 Pm 0.250 0.250 0.001
Pu1 Pu 0.250 0.250 0.501
Ir1 Ir 0.250 0.750 0.257
```


2.
PmPuIr after structural relaxation. Source: Alexandria via LeMat-Bulk, functional PBE.

Cell and atoms, written as CIF:
```
data_PmPuIr
_cell_length_a 3.612
_cell_length_b 3.612
_cell_length_c 11.229
_cell_angle_alpha 90.00
_cell_angle_beta 90.00
_cell_angle_gamma 90.00
_symmetry_space_group_name_H-M 'I 4 m m'
_symmetry_Int_Tables_number 107
_symmetry_space_group_name_Hall 'I 4 -2'
loop_
_atom_site_label
_atom_site_type_symbol
_atom_site_fract_x
_atom_site_fract_y
_atom_site_fract_z
Pm1 Pm 0.000 0.000 0.000
Pu1 Pu 0.000 0.000 0.718
Ir1 Ir 0.000 0.000 0.339
```


3.
PmPuIr after structural relaxation. Source: Alexandria via LeMat-Bulk, functional PBE.

Cell and atoms, written as CIF:
```
data_PmPuIr
_cell_length_a 6.870
_cell_length_b 6.870
_cell_length_c 6.870
_cell_angle_alpha 90.00
_cell_angle_beta 90.00
_cell_angle_gamma 90.00
_symmetry_space_group_name_H-M 'F -4 3 m'
_symmetry_Int_Tables_number 216
_symmetry_space_group_name_Hall 'F -4 2 3'
loop_
_atom_site_label
_atom_site_type_symbol
_atom_site_fract_x
_atom_site_fract_y
_atom_site_fract_z
Pm1 Pm 0.000 0.000 0.000
Pu1 Pu 0.000 0.000 0.500
Ir1 Ir 0.250 0.250 0.750
```


Least stable: 2


1.
PmPu2Ir after structural relaxation. Source: Alexandria via LeMat-Bulk, functional PBE.

Cell and atoms, written as CIF:
```
data_PmPu2Ir
_cell_length_a 14.764
_cell_length_b 9.567
_cell_length_c 5.944
_cell_angle_alpha 90.00
_cell_angle_beta 90.00
_cell_angle_gamma 90.00
_symmetry_space_group_name_H-M 'P n m a'
_symmetry_Int_Tables_number 62
_symmetry_space_group_name_Hall '-P 2ac 2n'
loop_
_atom_site_label
_atom_site_type_symbol
_atom_site_fract_x
_atom_site_fract_y
_atom_site_fract_z
Pm1 Pm 0.108 0.250 0.241
Pm2 Pm 0.143 0.750 0.976
Pu1 Pu 0.037 0.056 0.745
Pu2 Pu 0.213 0.558 0.462
Ir1 Ir 0.070 0.750 0.495
Ir2 Ir 0.179 0.250 0.732
```


2.
PmPu2Ir after structural relaxation. Source: Alexandria via LeMat-Bulk, functional PBE.

Cell and atoms, written as CIF:
```
data_PmPu2Ir
_cell_length_a 3.590
_cell_length_b 3.590
_cell_length_c 7.830
_cell_angle_alpha 90.00
_cell_angle_beta 90.00
_cell_angle_gamma 90.00
_symmetry_space_group_name_H-M 'P 4/m m m'
_symmetry_Int_Tables_number 123
_symmetry_space_group_name_Hall '-P 4 2'
loop_
_atom_site_label
_atom_site_type_symbol
_atom_site_fract_x
_atom_site_fract_y
_atom_site_fract_z
Pm1 Pm 0.000 0.000 0.000
Pu1 Pu 0.500 0.500 0.306
Ir1 Ir 0.000 0.000 0.500
```


Least stable: 2


1.
Pm2PuIr2 after structural relaxation. Source: Alexandria via LeMat-Bulk, functional PBE.

Cell and atoms, written as CIF:
```
data_Pm2PuIr2
_cell_length_a 10.474
_cell_length_b 5.897
_cell_length_c 7.983
_cell_angle_alpha 90.00
_cell_angle_beta 102.82
_cell_angle_gamma 90.00
_symmetry_space_group_name_H-M 'C 1 2/c 1'
_symmetry_Int_Tables_number 15
_symmetry_space_group_name_Hall '-C 2yc'
loop_
_atom_site_label
_atom_site_type_symbol
_atom_site_fract_x
_atom_site_fract_y
_atom_site_fract_z
Pm1 Pm 0.149 0.137 0.149
Pu1 Pu 0.000 0.365 0.750
Ir1 Ir 0.139 0.359 0.504
```


2.
Pm2PuIr2 after structural relaxation. Source: Alexandria via LeMat-Bulk, functional PBE.

Cell and atoms, written as CIF:
```
data_Pm2PuIr2
_cell_length_a 7.897
_cell_length_b 10.856
_cell_length_c 6.011
_cell_angle_alpha 90.00
_cell_angle_beta 90.00
_cell_angle_gamma 90.00
_symmetry_space_group_name_H-M 'I b a m'
_symmetry_Int_Tables_number 72
_symmetry_space_group_name_Hall '-I 2 2c'
loop_
_atom_site_label
_atom_site_type_symbol
_atom_site_fract_x
_atom_site_fract_y
_atom_site_fract_z
Pm1 Pm 0.137 0.166 0.000
Pu1 Pu 0.000 0.500 0.250
Ir1 Ir 0.228 0.092 0.500
```


Least stable: 2


1.
PmPu3Ir2 after structural relaxation. Source: Alexandria via LeMat-Bulk, functional PBE.

Cell and atoms, written as CIF:
```
data_PmPu3Ir2
_cell_length_a 16.648
_cell_length_b 4.238
_cell_length_c 7.540
_cell_angle_alpha 90.00
_cell_angle_beta 109.51
_cell_angle_gamma 90.00
_symmetry_space_group_name_H-M 'C 1 2/m 1'
_symmetry_Int_Tables_number 12
_symmetry_space_group_name_Hall '-C 2y'
loop_
_atom_site_label
_atom_site_type_symbol
_atom_site_fract_x
_atom_site_fract_y
_atom_site_fract_z
Pm1 Pm 0.117 0.000 0.184
Pu1 Pu 0.058 0.000 0.648
Pu2 Pu 0.123 0.500 0.554
Pu3 Pu 0.198 0.500 0.927
Ir1 Ir 0.026 0.500 0.858
Ir2 Ir 0.243 0.000 0.638
```


2.
PmPu3Ir2 after structural relaxation. Source: Alexandria via LeMat-Bulk, functional PBE.

Cell and atoms, written as CIF:
```
data_PmPu3Ir2
_cell_length_a 4.020
_cell_length_b 8.746
_cell_length_c 8.035
_cell_angle_alpha 90.00
_cell_angle_beta 90.00
_cell_angle_gamma 90.00
_symmetry_space_group_name_H-M 'P m c 21'
_symmetry_Int_Tables_number 26
_symmetry_space_group_name_Hall 'P 2c -2'
loop_
_atom_site_label
_atom_site_type_symbol
_atom_site_fract_x
_atom_site_fract_y
_atom_site_fract_z
Pm1 Pm 0.000 0.085 0.000
Pu1 Pu 0.000 0.303 0.599
Pu2 Pu 0.500 0.197 0.333
Pu3 Pu 0.500 0.426 0.934
Ir1 Ir 0.000 0.391 0.210
Ir2 Ir 0.500 0.117 0.723
```


Least stable: 1


1.
PmPuIr2 after structural relaxation. Source: Alexandria via LeMat-Bulk, functional PBE.

Cell and atoms, written as CIF:
```
data_PmPuIr2
_cell_length_a 6.950
_cell_length_b 6.950
_cell_length_c 6.950
_cell_angle_alpha 90.00
_cell_angle_beta 90.00
_cell_angle_gamma 90.00
_symmetry_space_group_name_H-M 'F m -3 m'
_symmetry_Int_Tables_number 225
_symmetry_space_group_name_Hall '-F 4 2 3'
loop_
_atom_site_label
_atom_site_type_symbol
_atom_site_fract_x
_atom_site_fract_y
_atom_site_fract_z
Pm1 Pm 0.000 0.000 0.000
Pu1 Pu 0.000 0.000 0.500
Ir1 Ir 0.250 0.250 0.250
```


2.
PmPuIr2 after structural relaxation. Source: Alexandria via LeMat-Bulk, functional PBE.

Cell and atoms, written as CIF:
```
data_PmPuIr2
_cell_length_a 4.5123
_cell_length_b 4.5123
_cell_length_c 15.1586
_cell_angle_alpha 90.00
_cell_angle_beta 90.00
_cell_angle_gamma 120.00
_symmetry_space_group_name_H-M 'R -3 m'
_symmetry_Int_Tables_number 166
_symmetry_space_group_name_Hall '-R 3 2"'
loop_
_atom_site_label
_atom_site_type_symbol
_atom_site_fract_x
_atom_site_fract_y
_atom_site_fract_z
Pm1 Pm 0.0000 0.0000 0.0000
Pu1 Pu 0.0000 0.0000 0.5000
Ir1 Ir 0.0000 0.0000 0.2202
```


Least stable: 1


1.
PmPuIrRh after structural relaxation. Source: Alexandria via LeMat-Bulk, functional PBE.

Cell and atoms, written as CIF:
```
data_PmPuIrRh
_cell_length_a 4.070
_cell_length_b 3.879
_cell_length_c 11.117
_cell_angle_alpha 90.00
_cell_angle_beta 90.00
_cell_angle_gamma 90.00
_symmetry_space_group_name_H-M 'A m m 2'
_symmetry_Int_Tables_number 38
_symmetry_space_group_name_Hall 'A 2 -2'
loop_
_atom_site_label
_atom_site_type_symbol
_atom_site_fract_x
_atom_site_fract_y
_atom_site_fract_z
Pm1 Pm 0.000 0.000 0.000
Pu1 Pu 0.500 0.000 0.719
Ir1 Ir 0.000 0.000 0.266
Rh1 Rh 0.500 0.000 0.443
```


2.
PmPuIrRh after structural relaxation. Source: Alexandria via LeMat-Bulk, functional PBE.

Cell and atoms, written as CIF:
```
data_PmPuIrRh
_cell_length_a 6.948
_cell_length_b 6.948
_cell_length_c 6.948
_cell_angle_alpha 90.00
_cell_angle_beta 90.00
_cell_angle_gamma 90.00
_symmetry_space_group_name_H-M 'F -4 3 m'
_symmetry_Int_Tables_number 216
_symmetry_space_group_name_Hall 'F -4 2 3'
loop_
_atom_site_label
_atom_site_type_symbol
_atom_site_fract_x
_atom_site_fract_y
_atom_site_fract_z
Pm1 Pm 0.000 0.000 0.000
Pu1 Pu 0.000 0.000 0.500
Ir1 Ir 0.250 0.250 0.750
Rh1 Rh 0.250 0.250 0.250
```


Least stable: 2


1.
RbPm2Ir after structural relaxation. Source: Alexandria via LeMat-Bulk, functional PBE.

Cell and atoms, written as CIF:
```
data_RbPm2Ir
_cell_length_a 4.2415
_cell_length_b 4.2415
_cell_length_c 34.3179
_cell_angle_alpha 90.00
_cell_angle_beta 90.00
_cell_angle_gamma 120.00
_symmetry_space_group_name_H-M 'R -3 m'
_symmetry_Int_Tables_number 166
_symmetry_space_group_name_Hall '-R 3 2"'
loop_
_atom_site_label
_atom_site_type_symbol
_atom_site_fract_x
_atom_site_fract_y
_atom_site_fract_z
Rb1 Rb 0.0000 0.0000 0.0000
Pm1 Pm 0.0000 0.0000 0.1253
Ir1 Ir 0.0000 0.0000 0.5000
```


2.
RbPm2Ir after structural relaxation. Source: Alexandria via LeMat-Bulk, functional PBE.

Cell and atoms, written as CIF:
```
data_RbPm2Ir
_cell_length_a 3.638
_cell_length_b 3.638
_cell_length_c 10.970
_cell_angle_alpha 90.00
_cell_angle_beta 90.00
_cell_angle_gamma 90.00
_symmetry_space_group_name_H-M 'P 4/m m m'
_symmetry_Int_Tables_number 123
_symmetry_space_group_name_Hall '-P 4 2'
loop_
_atom_site_label
_atom_site_type_symbol
_atom_site_fract_x
_atom_site_fract_y
_atom_site_fract_z
Rb1 Rb 0.000 0.000 0.000
Pm1 Pm 0.500 0.500 0.354
Ir1 Ir 0.000 0.000 0.500
```


Least stable: 2


1.
Pm6Ir3Rh after structural relaxation. Source: Alexandria via LeMat-Bulk, functional PBE.

Cell and atoms, written as CIF:
```
data_Pm6Ir3Rh
_cell_length_a 12.8454
_cell_length_b 12.8454
_cell_length_c 11.6734
_cell_angle_alpha 90.00
_cell_angle_beta 90.00
_cell_angle_gamma 120.00
_symmetry_space_group_name_H-M 'R -3'
_symmetry_Int_Tables_number 148
_symmetry_space_group_name_Hall '-R 3'
loop_
_atom_site_label
_atom_site_type_symbol
_atom_site_fract_x
_atom_site_fract_y
_atom_site_fract_z
Pm1 Pm 0.0295 0.2169 0.3922
Pm2 Pm 0.0414 0.2091 0.8861
Ir1 Ir 0.0489 0.2644 0.6489
Rh1 Rh 0.0000 0.0000 0.0000
Rh2 Rh 0.0000 0.0000 0.5000
```


2.
Pm6Ir3Rh after structural relaxation. Source: Alexandria via LeMat-Bulk, functional PBE.

Cell and atoms, written as CIF:
```
data_Pm6Ir3Rh
_cell_length_a 7.035
_cell_length_b 7.563
_cell_length_c 12.210
_cell_angle_alpha 90.00
_cell_angle_beta 123.60
_cell_angle_gamma 90.00
_symmetry_space_group_name_H-M 'P 1 21/c 1'
_symmetry_Int_Tables_number 14
_symmetry_space_group_name_Hall '-P 2ybc'
loop_
_atom_site_label
_atom_site_type_symbol
_atom_site_fract_x
_atom_site_fract_y
_atom_site_fract_z
Pm1 Pm 0.079 0.062 0.250
Pm2 Pm 0.254 0.674 0.083
Pm3 Pm 0.397 0.172 0.066
Ir1 Ir 0.303 0.110 0.767
Ir2 Ir 0.500 0.000 0.500
Rh1 Rh 0.000 0.000 0.000
```


Least stable: 1


1.
Pm4IrRh after structural relaxation. Source: Alexandria via LeMat-Bulk, functional PBE.

Cell and atoms, written as CIF:
```
data_Pm4IrRh
_cell_length_a 9.079
_cell_length_b 13.607
_cell_length_c 6.433
_cell_angle_alpha 90.00
_cell_angle_beta 125.04
_cell_angle_gamma 90.00
_symmetry_space_group_name_H-M 'C 1 2/c 1'
_symmetry_Int_Tables_number 15
_symmetry_space_group_name_Hall '-C 2yc'
loop_
_atom_site_label
_atom_site_type_symbol
_atom_site_fract_x
_atom_site_fract_y
_atom_site_fract_z
Pm1 Pm 0.137 0.181 0.108
Pm2 Pm 0.196 0.437 0.265
Ir1 Ir 0.000 0.363 0.750
Rh1 Rh 0.000 0.005 0.750
```


2.
Pm4IrRh after structural relaxation. Source: Alexandria via LeMat-Bulk, functional PBE.

Cell and atoms, written as CIF:
```
data_Pm4IrRh
_cell_length_a 7.025
_cell_length_b 7.030
_cell_length_c 7.028
_cell_angle_alpha 90.00
_cell_angle_beta 90.23
_cell_angle_gamma 90.00
_symmetry_space_group_name_H-M 'P 1 21/c 1'
_symmetry_Int_Tables_number 14
_symmetry_space_group_name_Hall '-P 2ybc'
loop_
_atom_site_label
_atom_site_type_symbol
_atom_site_fract_x
_atom_site_fract_y
_atom_site_fract_z
Pm1 Pm 0.166 0.166 0.168
Pm2 Pm 0.333 0.667 0.165
Ir1 Ir 0.000 0.000 0.500
Rh1 Rh 0.500 0.000 0.000
```


Least stable: 2